The following is a DFT calculation (GGA-PBE) of ZnSnNO after structural relaxation.

Cell: 3.3713 5.9695 5.7384 Å, 90.00 90.00 90.00°
With the nearest neighbours (Å) after each atom.
Atoms (fractional coordinates):
Zn 0.0000 0.1517 0.0000  2 N 2.02, 2 O 2.10
Zn 0.0000 0.8483 0.5000  2 N 2.02, 2 O 2.10
Sn 0.5000 0.3309 0.4837  2 N 2.12, 2 O 2.20
Sn 0.5000 0.6691 0.9837  2 N 2.12, 2 O 2.20
N 0.0000 0.1551 0.3528  2 Zn 2.02, 2 Sn 2.12
N 0.0000 0.8449 0.8528  2 Zn 2.02, 2 Sn 2.12
O 0.5000 0.3177 0.8669  2 Zn 2.10, 2 Sn 2.20
O 0.5000 0.6823 0.3669  2 Zn 2.10, 2 Sn 2.20

Calculated values
Energy relative to the lowest polymorph listed for this composition, eV per atom: 0.002